The following is a DFT calculation (PBE with a Hubbard U) of an optimized crystal structure of MnRe2PbO8.

a = 5.199 Å, b = 5.199 Å, c = 7.622 Å
α = 88.69°, β = 88.69°, γ = 72.73°
Element x y z (fractional)
O (0.253, 0.253, 0.960)
O (0.694, 0.694, 0.448)
O (0.744, 0.217, 0.780)
O (0.747, 0.747, 0.040)
O (0.217, 0.744, 0.780)
O (0.306, 0.306, 0.552)
O (0.256, 0.783, 0.220)
O (0.783, 0.256, 0.220)
Pb (0.000, 0.000, 0.500)
Mn (0.000, 0.000, 0.000)
Re (0.382, 0.382, 0.770)
Re (0.618, 0.618, 0.230)

Computed properties:
Density: 6.44 g/cm³
DFT total energy: -93.1 eV per cell
Magnetic moment: 7.04 Bohr magnetons per cell
Symmetry: C2/m, No. 12